Density functional theory data (PBEsol) for HoAl7Au3 after structural relaxation.

Unit cell a=7.9950 b=7.9950 c=8.3590 alpha=61.43 beta=61.43 gamma=60.00
With the nearest neighbours (Å) after each atom.
Element x y z (fractional)
1 Al 0.3340 0.1473 0.5897  3 Au 2.56-2.64, 5 Al 2.81-2.87
2 Al 0.5710 0.3527 0.9103  3 Au 2.56-2.64, 5 Al 2.81-2.87
3 Al 0.7500 0.7500 0.7500  3 Au 2.60, 6 Al 2.87
4 Al 0.4290 0.6473 0.0897  3 Au 2.56-2.64, 5 Al 2.81-2.87
5 Al 0.8340 0.4290 0.0897  3 Au 2.56-2.64, 5 Al 2.81-2.87
6 Al 0.9290 0.3340 0.5897  3 Au 2.56-2.64, 5 Al 2.81-2.87
7 Al 0.3527 0.1660 0.9103  3 Au 2.56-2.64, 5 Al 2.81-2.87
8 Al 0.1660 0.5710 0.9103  3 Au 2.56-2.64, 5 Al 2.81-2.87
9 Al 0.8527 0.0710 0.4103  3 Au 2.56-2.64, 5 Al 2.81-2.87
10 Al 0.2500 0.2500 0.2500  3 Au 2.60, 6 Al 2.87
11 Al 0.6473 0.8340 0.0897  3 Au 2.56-2.64, 5 Al 2.81-2.87
12 Al 0.0710 0.6660 0.4103  3 Au 2.56-2.64, 5 Al 2.81-2.87
13 Al 0.6660 0.8527 0.4103  3 Au 2.56-2.64, 5 Al 2.81-2.87
14 Al 0.1473 0.9290 0.5897  3 Au 2.56-2.64, 5 Al 2.81-2.87
15 Ho 0.0000 0.0000 0.0000  6 Au 3.21, 12 Al 3.29-3.32
16 Ho 0.5000 0.5000 0.5000  6 Au 3.21, 12 Al 3.29-3.32
17 Au 0.7500 0.0747 0.7500  7 Al 2.56-2.64
18 Au 0.0747 0.4253 0.7500  7 Al 2.56-2.64
19 Au 0.5747 0.2500 0.2500  7 Al 2.56-2.64
20 Au 0.4253 0.7500 0.7500  7 Al 2.56-2.64
21 Au 0.9253 0.5747 0.2500  7 Al 2.56-2.64
22 Au 0.2500 0.9253 0.2500  7 Al 2.56-2.64

DOS at the Fermi energy = 0.20 states/eV/atom
ΔE_f = -546 meV per atom
SG = R-3c (167)

=====

Density functional theory data (PBEsol) for Al2AuI after structural relaxation.

Unit cell a=6.4521 b=7.2210 c=6.4521 alpha=63.46 beta=90.00 gamma=116.54
With the nearest neighbours (Å) after each atom.
Element x y z (fractional)
1 I 0.5000 0.0000 0.5000  4 Al 2.97
2 I 0.2500 0.5000 0.2500  4 Al 2.97
3 Al 0.6958 0.7500 0.3750  2 Au 2.43
4 Al 0.0542 0.7500 0.8750  2 Au 2.43
5 Al 0.8750 0.2500 0.6958  2 Au 2.43
6 Al 0.3750 0.2500 0.0542  2 Au 2.43
7 Au 0.0000 0.0000 0.0000  4 Al 2.43
8 Au 0.7500 0.5000 0.7500  4 Al 2.43

DOS at the Fermi energy = 0.17 states/eV/atom
SG = I-42d (122)

=====

Density functional theory data (PBEsol) for AlTeAuI2 after structural relaxation.

Unit cell a=5.4155 b=5.5227 c=5.5227 alpha=90.00 beta=90.00 gamma=90.00
With the nearest neighbours (Å) after each atom.
Element x y z (fractional)
1 Te 0.5000 0.0000 0.0000  2 Au 2.71
2 I 0.0000 0.0000 0.5000  2 Au 2.76
3 I 0.0000 0.5000 0.0000  2 Au 2.76
4 Au 0.0000 0.0000 0.0000  2 Te 2.71, 4 I 2.76
5 Al 0.5000 0.5000 0.5000  8 I 3.87, 4 Te 3.91

DOS at the Fermi energy = 0.70 states/eV/atom
SG = P4/mmm (123)

=====

Density functional theory data (PBEsol) for Al2InAu after structural relaxation.

Unit cell a=3.2674 b=3.2674 c=8.4111 alpha=78.80 beta=78.80 gamma=60.00
With the nearest neighbours (Å) after each atom.
Element x y z (fractional)
1 Al 0.7593 0.7593 0.7222  3 Au 2.62
2 Al 0.2407 0.2407 0.2778  3 Au 2.62
3 In 0.0000 0.0000 0.0000  6 Al 2.96, 6 In 3.27
4 Au 0.5000 0.5000 0.5000  6 Al 2.62

DOS at the Fermi energy = 0.27 states/eV/atom
ΔE_f = -117 meV per atom
SG = R-3m (166)

=====

Density functional theory data (PBEsol) for AlInAu2 after structural relaxation.

Unit cell a=3.7078 b=4.3991 c=4.3991 alpha=90.00 beta=90.00 gamma=90.00
With the nearest neighbours (Å) after each atom.
Element x y z (fractional)
1 Al 0.5000 0.0000 0.0000  8 Au 2.88, 4 In 3.11
2 Au 0.0000 0.5000 0.0000  4 In 2.88, 4 Al 2.88, 4 Au 3.11
3 Au 0.0000 0.0000 0.5000  4 In 2.88, 4 Al 2.88, 4 Au 3.11
4 In 0.5000 0.5000 0.5000  8 Au 2.88, 4 Al 3.11

DOS at the Fermi energy = 0.38 states/eV/atom
ΔE_f = -128 meV per atom
SG = P4/mmm (123)

=====

Density functional theory data (PBEsol) for Al2InAu after structural relaxation.

Unit cell a=3.2187 b=4.4755 c=5.7904 alpha=102.54 beta=90.00 gamma=111.08
With the nearest neighbours (Å) after each atom.
Element x y z (fractional)
1 In 0.5000 0.0000 0.0000  6 Al 2.90-2.92, 2 In 3.22
2 Au 0.0000 0.0000 0.5000  6 Al 2.64-2.70
3 Al 0.2584 0.5168 0.2932  3 Au 2.64-2.70, 3 In 2.90-2.92, 2 Al 2.92
4 Al 0.7416 0.4832 0.7068  3 Au 2.64-2.70, 3 In 2.90-2.92, 2 Al 2.92

DOS at the Fermi energy = 0.37 states/eV/atom
ΔE_f = -113 meV per atom
SG = C2/m (12)

=====

Density functional theory data (PBEsol) for AlIn2Au after structural relaxation.

Unit cell a=4.4258 b=4.4258 c=5.2023 alpha=115.17 beta=115.17 gamma=90.00
With the nearest neighbours (Å) after each atom.
Element x y z (fractional)
1 In 0.7500 0.2500 0.5000  4 In 3.04, 4 Al 3.04, 4 Au 3.13
2 In 0.0000 0.0000 0.0000  4 In 3.04, 4 Au 3.04, 4 Al 3.13
3 Au 0.2500 0.7500 0.5000  4 Al 3.04, 8 In 3.04-3.13
4 Al 0.5000 0.5000 0.0000  8 In 3.04-3.13, 4 Au 3.04

DOS at the Fermi energy = 0.36 states/eV/atom
ΔE_f = 33 meV per atom
SG = I-4m2 (119)

=====

Density functional theory data (PBEsol) for AlIn2Au after structural relaxation.

Unit cell a=3.3896 b=5.0549 c=5.0549 alpha=110.30 beta=90.00 gamma=90.00
With the nearest neighbours (Å) after each atom.
Element x y z (fractional)
1 In 0.0000 0.0000 0.5000  2 In 2.89, 4 Au 3.04, 4 Al 3.04
2 In 0.0000 0.5000 0.0000  2 In 2.89, 4 Al 3.04, 4 Au 3.04
3 Au 0.5000 0.5000 0.5000  2 Al 2.89, 8 In 3.04
4 Al 0.5000 0.0000 0.0000  2 Au 2.89, 8 In 3.04

DOS at the Fermi energy = 0.38 states/eV/atom
ΔE_f = 17 meV per atom
SG = Cmmm (65)

=====

Density functional theory data (PBEsol) for AlIn2Au after structural relaxation.

Unit cell a=4.0873 b=4.2240 c=5.3176 alpha=90.00 beta=112.60 gamma=90.00
With the nearest neighbours (Å) after each atom.
Element x y z (fractional)
1 Al 0.8269 0.0000 0.6538  2 Au 2.55, 1 In 2.74
2 In 0.1059 0.0000 0.2118  3 Al 2.74-2.98, 4 Au 3.03
3 In 0.3985 0.5000 0.7971  3 Au 2.78-2.95, 4 Al 3.02
4 Au 0.6817 0.5000 0.3633  2 Al 2.55, 1 In 2.78

DOS at the Fermi energy = 0.35 states/eV/atom
ΔE_f = -105 meV per atom
SG = Amm2 (38)

=====

Density functional theory data (PBEsol) for AlIn2Au after structural relaxation.

Unit cell a=4.1842 b=4.4266 c=4.3983 alpha=90.00 beta=90.00 gamma=90.00
With the nearest neighbours (Å) after each atom.
Element x y z (fractional)
1 In 0.0000 0.0000 0.0000  4 Au 3.04, 4 In 3.05, 4 Al 3.12
2 In 0.5000 0.5000 0.0000  4 Al 3.04, 4 In 3.05, 4 Au 3.12
3 Au 0.5000 0.0000 0.5000  8 In 3.04-3.12, 4 Al 3.05
4 Al 0.0000 0.5000 0.5000  8 In 3.04-3.12, 4 Au 3.05

DOS at the Fermi energy = 0.34 states/eV/atom
ΔE_f = 29 meV per atom
SG = Pmmm (47)

=====

Density functional theory data (PBEsol) for AlInAu4 after structural relaxation.

Unit cell a=5.4398 b=5.4398 c=5.4398 alpha=60.00 beta=60.00 gamma=60.00
With the nearest neighbours (Å) after each atom.
Element x y z (fractional)
1 Au 0.8755 0.3748 0.3748  6 Au 2.72
2 Au 0.3748 0.3748 0.3748  6 Au 2.72
3 Au 0.3748 0.8755 0.3748  6 Au 2.72
4 Au 0.3748 0.3748 0.8755  6 Au 2.72
5 In 0.7500 0.7500 0.7500  12 Au 3.19, 4 Al 3.33
6 Al 0.0000 0.0000 0.0000  12 Au 3.19, 4 In 3.33

DOS at the Fermi energy = 0.54 states/eV/atom
ΔE_f = 15 meV per atom
SG = F-43m (216)

=====

Density functional theory data (PBEsol) for AlIn2Au after structural relaxation.

Unit cell a=3.1364 b=3.1364 c=8.2082 alpha=90.00 beta=90.00 gamma=90.83
With the nearest neighbours (Å) after each atom.
Element x y z (fractional)
1 In 0.0000 0.0000 0.7613  4 Au 2.95-2.97, 4 Al 3.07-3.10, 4 In 3.14
2 In 0.0000 0.0000 0.2387  4 Au 2.95-2.97, 4 Al 3.07-3.10, 4 In 3.14
3 Al 0.5000 0.5000 0.5000  8 In 3.07-3.10, 4 Al 3.14
4 Au 0.5000 0.5000 0.0000  8 In 2.95-2.97, 4 Au 3.14

DOS at the Fermi energy = 0.37 states/eV/atom
ΔE_f = 7 meV per atom
SG = Cmmm (65)

=====

| no. | VASP energy (eV/atom) | total moment (μB per atom) |
| --- | --- | --- |
| 1 | -4.670 | 0.000 |
| 2 | -3.400 | 0.000 |
| 3 | -2.699 | 0.000 |
| 4 | -3.890 | 0.000 |
| 5 | -3.859 | 0.000 |
| 6 | -3.886 | 0.000 |
| 7 | -3.462 | 0.000 |
| 8 | -3.478 | 0.000 |
| 9 | -3.601 | 0.000 |
| 10 | -3.466 | 0.000 |
| 11 | -3.780 | 0.000 |
| 12 | -3.488 | 0.000 |